Record 1
VASP calculation (PBE) on a relaxed structure of KAlSe.

abc: 7.2245 7.2245 5.1392
angles: 90.13 90.13 126.69
Fractional coordinates of all 6 atoms:
K 0.1376 0.8624 0.5000
K 0.8624 0.1376 0.0000
Al 0.4694 0.4699 0.7469
Al 0.4699 0.4694 0.2469
Se 0.5684 0.8170 0.4980
Se 0.8170 0.5684 0.9980

Calculated values
Space group: Cc, No. 9
Mass density (g/cm3): 2.24
Electronic total energy (eV/atom): -3.438
Offset from the most stable computed form (eV/atom): 0.0489

---

Record 2
VASP calculation (PBE) on a relaxed structure of KAlSe.

abc: 6.8674 6.8674 7.7751
angles: 107.82 107.82 31.57
Fractional coordinates of all 6 atoms:
K 0.0000 0.0000 0.0000
K 0.1936 0.1936 0.6145
Al 0.2853 0.2853 0.2221
Al 0.9000 0.9000 0.4945
Se 0.4939 0.4939 0.3448
Se 0.7345 0.7345 0.9942

Calculated values
Space group: Cm, No. 8
Mass density (g/cm3): 2.65
Electronic total energy (eV/atom): -3.360
Offset from the most stable computed form (eV/atom): 0.1273

---

Record 3
VASP calculation (PBE) on a relaxed structure of KAlSe2.

abc: 5.9494 7.4203 7.4214
angles: 89.91 89.49 89.95
Fractional coordinates of all 8 atoms:
K 0.0000 0.0000 0.0000
K 0.5001 0.4987 0.4996
Al 0.2500 0.5001 0.0004
Al 0.7499 0.4999 0.9999
Se 0.0025 0.6153 0.7713
Se 0.4986 0.7287 0.1152
Se 0.5012 0.2711 0.8854
Se 0.9974 0.3845 0.2289

Calculated values
Space group: P1, No. 1
Mass density (g/cm3): 2.27
Electronic total energy (eV/atom): -4.080

---

Number 1: formation energy from raw total energies -192 kJ/mol of formula units. Number 2: formation energy from raw total energies -169 kJ/mol of formula units. Number 3: formation energy from raw total energies -435 kJ/mol of formula units.